{
  "formula": "MnSCl2F",
  "functional": "PBE+U",
  "state": "optimized geometry",
  "cell": [[4.729, 0.000, 0.000], [0.000, 4.729, 0.000], [0.000, 0.000, 5.047]],
  "species": ["Mn", "S", "Cl", "Cl", "F"],
  "frac_coords": [[0.000, 0.000, 0.000], [0.000, 0.000, 0.500], [0.000, 0.500, 0.000], [0.500, 0.000, 0.000], [0.500, 0.500, 0.500]],
  "total_magnetization_mub_per_fu": 2.00,
  "vol_a3_per_atom": 22.57,
  "polymorph_energy_ev_per_atom": 0.0000
}